No. 1
The following is a PBE calculation of crystalline BaSrIn2Pd at its relaxed geometry, from the Alexandria database. Values from VASP.

```
&SYSTEM
  ibrav = 0, nat = 5, ntyp = 4
/
ATOMIC_SPECIES
Sr 87.62 Sr.upf
Ba 137.33 Ba.upf
Pd 106.42 Pd.upf
In 114.82 In.upf
ATOMIC_POSITIONS angstrom
Sr 1.282 -0.843 2.355
Ba -1.425 0.856 4.437
Pd 0.000 0.000 0.000
In -2.378 -0.759 1.022
In -0.329 2.458 1.059
CELL_PARAMETERS angstrom
-0.658 4.917 2.119
-4.755 -1.518 2.045
2.564 -1.687 4.711
```

Properties
crystal system = tetragonal
E_form = -1.92 eV per formula unit



No. 2
The following is a PBE calculation of crystalline BaSrInPd at its relaxed geometry, from the Alexandria database. Values from VASP.

```
&SYSTEM
  ibrav = 0, nat = 4, ntyp = 4
/
ATOMIC_SPECIES
Sr 87.62 Sr.upf
Ba 137.33 Ba.upf
Pd 106.42 Pd.upf
In 114.82 In.upf
ATOMIC_POSITIONS angstrom
Sr 8.509 4.912 3.474
Ba 2.836 1.637 1.158
Pd 0.000 0.000 0.000
In 5.672 3.275 2.316
CELL_PARAMETERS angstrom
5.672 0.000 0.000
2.836 4.912 0.000
2.836 1.637 4.631
```

Properties
energy above the lowest structure with this stoichiometry = 0.122 eV/atom
crystal system = cubic
E_form = -1.35 eV per formula unit



No. 3
The following is a PBE calculation of crystalline BaSrInPd at its relaxed geometry, from the Alexandria database. Values from VASP.

```
&SYSTEM
  ibrav = 0, nat = 4, ntyp = 4
/
ATOMIC_SPECIES
Ba 137.33 Ba.upf
Sr 87.62 Sr.upf
In 114.82 In.upf
Pd 106.42 Pd.upf
ATOMIC_POSITIONS angstrom
Ba -2.086 -0.783 2.355
Sr -4.455 -7.095 1.716
In -2.514 2.146 0.443
Pd -2.394 -0.127 -1.107
CELL_PARAMETERS angstrom
-1.966 4.234 0.975
-1.649 -2.608 -3.636
-3.439 -5.557 5.559
```

Properties
energy above the lowest structure with this stoichiometry = 0.000 eV/atom
crystal system = monoclinic
E_form = -1.84 eV per formula unit



No. 4
The following is a PBE calculation of crystalline Ba2SrInPd at its relaxed geometry, from the Alexandria database. Values from VASP.

```
&SYSTEM
  ibrav = 0, nat = 5, ntyp = 4
/
ATOMIC_SPECIES
Sr 87.62 Sr.upf
Ba 137.33 Ba.upf
Pd 106.42 Pd.upf
In 114.82 In.upf
ATOMIC_POSITIONS angstrom
Sr 3.112 3.112 2.699
Ba 0.000 3.112 0.000
Ba 3.112 0.000 0.000
Pd 0.000 0.000 0.000
In 0.000 0.000 2.699
CELL_PARAMETERS angstrom
6.224 0.000 0.000
0.000 6.224 0.000
0.000 0.000 5.397
```

Properties
crystal system = tetragonal
E_form = -1.43 eV per formula unit



No. 5
The following is a PBE calculation of crystalline BaSrIn2Pd2 at its relaxed geometry, from the Alexandria database. Values from VASP.

```
&SYSTEM
  ibrav = 0, nat = 6, ntyp = 4
/
ATOMIC_SPECIES
Ba 137.33 Ba.upf
Sr 87.62 Sr.upf
In 114.82 In.upf
Pd 106.42 Pd.upf
ATOMIC_POSITIONS angstrom
Ba 0.000 0.000 0.000
Sr -4.150 0.483 1.264
In -6.830 -1.225 0.026
In -2.327 -2.395 1.439
Pd -3.069 -1.663 -1.120
Pd -6.089 -1.957 2.585
CELL_PARAMETERS angstrom
-1.477 -1.203 -4.390
0.619 -3.383 3.327
-8.300 0.967 2.529
```

Properties
crystal system = trigonal
E_form = -3.32 eV per formula unit



No. 6
The following is a PBE calculation of crystalline BaTlInPd3 at its relaxed geometry, from the Alexandria database. Values from VASP.

```
&SYSTEM
  ibrav = 0, nat = 12, ntyp = 4
/
ATOMIC_SPECIES
Ba 137.33 Ba.upf
Tl 204.38 Tl.upf
In 114.82 In.upf
Pd 106.42 Pd.upf
ATOMIC_POSITIONS angstrom
Ba 4.577 0.000 4.400
Ba 1.526 3.053 4.304
Tl 1.526 0.000 6.940
Tl 4.577 3.053 1.763
In 1.526 0.000 1.593
In 4.577 3.053 7.111
Pd 1.526 0.000 4.234
Pd 0.000 1.555 0.000
Pd 3.051 4.551 0.000
Pd 3.051 1.555 0.000
Pd 0.000 4.551 0.000
Pd 4.577 3.053 4.470
CELL_PARAMETERS angstrom
6.102 0.000 0.000
0.000 6.106 0.000
0.000 -3.053 8.704
```

Properties
crystal system = orthorhombic
E_form = -1.99 eV per formula unit



No. 7
The following is a PBE calculation of crystalline Ba2TlIn4Pd3 at its relaxed geometry, from the Alexandria database. Values from VASP.

```
&SYSTEM
  ibrav = 0, nat = 10, ntyp = 4
/
ATOMIC_SPECIES
Ba 137.33 Ba.upf
Tl 204.38 Tl.upf
In 114.82 In.upf
Pd 106.42 Pd.upf
ATOMIC_POSITIONS angstrom
Ba 2.406 0.000 2.868
Ba 0.000 2.406 8.672
Tl 2.406 2.406 5.770
In 2.406 2.406 0.000
In 0.000 0.000 0.000
In 2.406 0.000 7.403
In 0.000 2.406 4.137
Pd 0.000 0.000 5.770
Pd 2.406 0.000 10.142
Pd 0.000 2.406 1.398
CELL_PARAMETERS angstrom
4.813 0.000 0.000
0.000 4.813 0.000
0.000 0.000 11.540
```

Properties
crystal system = tetragonal
E_form = -4.89 eV per formula unit



No. 8
The following is a PBE calculation of crystalline Ba2Tl3InPd4 at its relaxed geometry, from the Alexandria database. Values from VASP.

```
&SYSTEM
  ibrav = 0, nat = 10, ntyp = 4
/
ATOMIC_SPECIES
Ba 137.33 Ba.upf
Tl 204.38 Tl.upf
In 114.82 In.upf
Pd 106.42 Pd.upf
ATOMIC_POSITIONS angstrom
Ba 2.449 0.000 2.586
Ba 0.000 2.449 8.379
Tl 0.000 0.000 5.482
Tl 2.449 0.000 9.631
Tl 0.000 2.449 1.334
In 2.449 2.449 5.482
Pd 2.449 2.449 0.000
Pd 0.000 0.000 0.000
Pd 2.449 0.000 6.856
Pd 0.000 2.449 4.109
CELL_PARAMETERS angstrom
4.897 0.000 0.000
0.000 4.897 0.000
0.000 0.000 10.965
```

Properties
crystal system = tetragonal
E_form = -4.55 eV per formula unit